A relaxed structure of KGeTe2, computed with PBE-GGA.

Lattice parameters (Å, degrees): 8.781 8.781 8.781 27.83 27.83 27.83
Element x y z (fractional)
1 K 0.000 0.000 0.000
2 Ge 0.166 0.166 0.166
3 Te 0.564 0.564 0.564
4 Te 0.769 0.769 0.769

Computed properties:
E_form (uncorrected)	-381.1	meV/atom